# 1
Density functional theory data (PBEsol) for a relaxed Nd3Ru crystal.

Cell lengths 7.296, 9.597, 6.346 Å; angles 90.00, 90.00, 90.00 degrees
Element x y z (fractional)
Nd  0.041  0.250  0.144
Nd  0.177  0.066  0.669
Nd  0.177  0.434  0.669
Nd  0.323  0.566  0.169
Nd  0.323  0.934  0.169
Nd  0.459  0.750  0.644
Nd  0.541  0.250  0.356
Nd  0.677  0.066  0.831
Nd  0.677  0.434  0.831
Nd  0.823  0.566  0.331
Nd  0.823  0.934  0.331
Nd  0.959  0.750  0.856
Ru  0.115  0.750  0.444
Ru  0.385  0.250  0.944
Ru  0.615  0.750  0.056
Ru  0.885  0.250  0.556

Properties
Total moment, μB per cell: 0.00
D(E_F), states/eV per atom: 0.989
Crystal system: orthorhombic
Calculated density, Mg/m³: 7.98
VASP energy, eV/f.u.: -26.26

# 2
Density functional theory data (PBEsol) for a relaxed ZnFeRe crystal.

Cell lengths 2.734, 2.734, 10.030 Å; angles 90.00, 90.00, 90.00 degrees
Element x y z (fractional)
Zn  0.000  0.000  0.000
Zn  0.500  0.500  0.500
Fe  0.000  0.000  0.659
Fe  0.500  0.500  0.159
Re  0.000  0.000  0.311
Re  0.500  0.500  0.811

Properties
Total moment, μB per cell: 0.01
E above lowest polymorph, eV per formula unit: 0.00
D(E_F), states/eV per atom: 0.814
Crystal system: tetragonal
Calculated density, Mg/m³: 13.62
VASP energy, eV/f.u.: -23.66

# 3
Density functional theory data (PBEsol) for a relaxed CaCdAu crystal.

Cell lengths 4.755, 4.755, 3.537 Å; angles 90.00, 90.00, 120.00 degrees
Element x y z (fractional)
Ca  0.000  0.000  0.000
Cd  0.333  0.667  0.500
Au  0.667  0.333  0.500

Properties
Total moment, μB per cell: 0.00
D(E_F), states/eV per atom: 0.602
Crystal system: hexagonal
Calculated density, Mg/m³: 8.38
VASP energy, eV/f.u.: -8.84